1.
CaTiW2 | the Alexandria database | PBE | optimized geometry; polymorph energy (0 for the lowest one) = 0 meV per atom; ΔH_f (0 K) = 1001 meV/atom; symmetry = Fm-3m (225); calculated total energy = -7.949 eV per atom
1.0
0.0000 3.3136 3.3136
3.3136 0.0000 3.3136
3.3136 3.3136 0.0000
Ca Ti W
1 1 2
direct
0.0000 0.0000 0.0000
0.5000 0.5000 0.5000
0.2500 0.2500 0.2500
0.7500 0.7500 0.7500

---

2.
CaTiW2 | the Alexandria database | PBE | optimized geometry; polymorph energy (0 for the lowest one) = 180 meV per atom; ΔH_f (0 K) = 1181 meV/atom; symmetry = I-42d (122); calculated total energy = -7.769 eV per atom
1.0
-2.0002 2.0002 10.0076
2.0002 -2.0002 10.0076
2.0002 2.0002 -10.0076
Ca Ti W
2 2 4
direct
0.0000 0.0000 0.0000
0.7500 0.2500 0.5000
0.2500 0.7500 0.5000
0.5000 0.5000 0.0000
0.1657 0.6250 0.0407
0.3750 0.4157 0.5407
0.5843 0.1250 0.9593
0.8750 0.8343 0.4593

---

3.
CaY2TiW | the Alexandria database | PBE | optimized geometry; ΔH_f (0 K) = 1601 meV/atom; symmetry = P4/mmm (123); calculated total energy = -5.554 eV per atom
1.0
5.1556 0.0000 0.0000
0.0000 5.1556 0.0000
0.0000 0.0000 5.1349
Ca Y Ti W
1 2 1 1
direct
0.0000 0.0000 0.0000
0.0000 0.5000 0.5000
0.5000 0.0000 0.5000
0.0000 0.0000 0.5000
0.5000 0.5000 0.0000

---

4.
CaY2Ti | the Alexandria database | PBE | optimized geometry; polymorph energy (0 for the lowest one) = 0 meV per atom; ΔH_f (0 K) = 176 meV/atom; symmetry = P4/mmm (123); calculated total energy = -5.530 eV per atom
1.0
3.5599 0.0000 0.0000
0.0000 3.5599 0.0000
0.0000 0.0000 9.5326
Ca Y Ti
1 2 1
direct
0.0000 0.0000 0.0000
0.5000 0.5000 0.3005
0.5000 0.5000 0.6995
0.0000 0.0000 0.5000

---

Repeat the third record exactly.
CaY2TiW | the Alexandria database | PBE | optimized geometry; ΔH_f (0 K) = 1601 meV/atom; symmetry = P4/mmm (123); calculated total energy = -5.554 eV per atom
1.0
5.1556 0.0000 0.0000
0.0000 5.1556 0.0000
0.0000 0.0000 5.1349
Ca Y Ti W
1 2 1 1
direct
0.0000 0.0000 0.0000
0.0000 0.5000 0.5000
0.5000 0.0000 0.5000
0.0000 0.0000 0.5000
0.5000 0.5000 0.0000

---

Question: Which value of calculated total energy does entry 2 give?
Answer: -7.769 eV per atom

---

Copy entry 3 word for word.
CaY2TiW | the Alexandria database | PBE | optimized geometry; ΔH_f (0 K) = 1601 meV/atom; symmetry = P4/mmm (123); calculated total energy = -5.554 eV per atom
1.0
5.1556 0.0000 0.0000
0.0000 5.1556 0.0000
0.0000 0.0000 5.1349
Ca Y Ti W
1 2 1 1
direct
0.0000 0.0000 0.0000
0.0000 0.5000 0.5000
0.5000 0.0000 0.5000
0.0000 0.0000 0.5000
0.5000 0.5000 0.0000